[1]
# Tb2SmBi GGA-PBE optimized geometry
# Relative energy among the computed polymorphs in meV/atom: 0
# SG: No. 11
# Density of states at the Fermi level in states/eV per cell: 10.28
# DFT formation energy in eV/atom: -0.447
data_Tb2SmBi
_chemical_formula_sum 'Tb4 Sm2 Bi2'
_space_group_name_H-M_alt 'P 1'
_space_group_IT_number 1
_cell_length_a 4.670
_cell_length_b 4.630
_cell_length_c 11.827
_cell_angle_alpha 90.00
_cell_angle_beta 101.40
_cell_angle_gamma 90.00
loop_
_space_group_symop_operation_xyz
'x,y,z'
loop_
_atom_site_label
_atom_site_type_symbol
_atom_site_fract_x
_atom_site_fract_y
_atom_site_fract_z
_atom_site_occupancy
Tb1 Tb 0.059 0.250 0.117 1
Tb2 Tb 0.440 0.250 0.880 1
Tb3 Tb 0.560 0.750 0.120 1
Tb4 Tb 0.941 0.750 0.883 1
Sm1 Sm 0.306 0.750 0.613 1
Sm2 Sm 0.694 0.250 0.387 1
Bi1 Bi 0.167 0.750 0.333 1
Bi2 Bi 0.833 0.250 0.667 1

=====

[2]
# AcHgAsPb GGA-PBE optimized geometry
# SG: No. 216
# Density of states at the Fermi level in states/eV per cell: 2.66
# DFT formation energy in eV/atom: -0.475
data_AcHgAsPb
_chemical_formula_sum 'Ac1 Hg1 As1 Pb1'
_space_group_name_H-M_alt 'P 1'
_space_group_IT_number 1
_cell_length_a 5.447
_cell_length_b 5.447
_cell_length_c 5.447
_cell_angle_alpha 60.00
_cell_angle_beta 60.00
_cell_angle_gamma 60.00
loop_
_space_group_symop_operation_xyz
'x,y,z'
loop_
_atom_site_label
_atom_site_type_symbol
_atom_site_fract_x
_atom_site_fract_y
_atom_site_fract_z
_atom_site_occupancy
Ac1 Ac 0.000 0.000 0.000 1
Hg1 Hg 0.750 0.750 0.750 1
As1 As 0.250 0.250 0.250 1
Pb1 Pb 0.500 0.500 0.500 1

=====

[3]
# PaHgS2O8 GGA-PBE optimized geometry
# SG: No. 164
# Density of states at the Fermi level in states/eV per cell: 0.10
# Calculated total energy in eV/f.u.: -78.4
data_PaHgS2O8
_chemical_formula_sum 'Pa1 Hg1 S2 O8'
_space_group_name_H-M_alt 'P 1'
_space_group_IT_number 1
_cell_length_a 5.715
_cell_length_b 5.715
_cell_length_c 9.499
_cell_angle_alpha 90.00
_cell_angle_beta 90.00
_cell_angle_gamma 120.00
loop_
_space_group_symop_operation_xyz
'x,y,z'
loop_
_atom_site_label
_atom_site_type_symbol
_atom_site_fract_x
_atom_site_fract_y
_atom_site_fract_z
_atom_site_occupancy
Pa1 Pa 0.000 0.000 0.000 1
Hg1 Hg 0.000 0.000 0.500 1
S1 S 0.333 0.667 0.808 1
S2 S 0.667 0.333 0.192 1
O1 O 0.193 0.385 0.871 1
O2 O 0.193 0.807 0.871 1
O3 O 0.333 0.667 0.659 1
O4 O 0.385 0.193 0.129 1
O5 O 0.615 0.807 0.871 1
O6 O 0.667 0.333 0.341 1
O7 O 0.807 0.193 0.129 1
O8 O 0.807 0.615 0.129 1

=====

[4]
# MgBNF2 GGA-PBE optimized geometry
# Relative energy among the computed polymorphs in meV/atom: 0
# SG: No. 123
# Density of states at the Fermi level in states/eV per cell: 0.85
data_MgBNF2
_chemical_formula_sum 'Mg1 B1 N1 F2'
_space_group_name_H-M_alt 'P 1'
_space_group_IT_number 1
_cell_length_a 4.173
_cell_length_b 4.173
_cell_length_c 2.772
_cell_angle_alpha 90.00
_cell_angle_beta 90.00
_cell_angle_gamma 90.00
loop_
_space_group_symop_operation_xyz
'x,y,z'
loop_
_atom_site_label
_atom_site_type_symbol
_atom_site_fract_x
_atom_site_fract_y
_atom_site_fract_z
_atom_site_occupancy
Mg1 Mg 0.000 0.000 0.000 1
B1 B 0.500 0.500 0.500 1
N1 N 0.500 0.500 0.000 1
F1 F 0.000 0.500 0.500 1
F2 F 0.500 0.000 0.500 1

=====

[5]
# Zr2CdPd3 GGA-PBE optimized geometry
# Relative energy among the computed polymorphs in meV/atom: 0
# SG: No. 164
# Density of states at the Fermi level in states/eV per cell: 9.92
# DFT formation energy in eV/atom: -0.587
data_Zr2CdPd3
_chemical_formula_sum 'Zr4 Cd2 Pd6'
_space_group_name_H-M_alt 'P 1'
_space_group_IT_number 1
_cell_length_a 4.715
_cell_length_b 4.715
_cell_length_c 11.527
_cell_angle_alpha 90.00
_cell_angle_beta 90.00
_cell_angle_gamma 120.00
loop_
_space_group_symop_operation_xyz
'x,y,z'
loop_
_atom_site_label
_atom_site_type_symbol
_atom_site_fract_x
_atom_site_fract_y
_atom_site_fract_z
_atom_site_occupancy
Zr1 Zr 0.000 0.000 0.000 1
Zr2 Zr 0.000 0.000 0.500 1
Zr3 Zr 0.333 0.667 0.182 1
Zr4 Zr 0.667 0.333 0.818 1
Cd1 Cd 0.333 0.667 0.670 1
Cd2 Cd 0.667 0.333 0.330 1
Pd1 Pd 0.000 0.000 0.242 1
Pd2 Pd 0.000 0.000 0.758 1
Pd3 Pd 0.333 0.667 0.425 1
Pd4 Pd 0.333 0.667 0.937 1
Pd5 Pd 0.667 0.333 0.063 1
Pd6 Pd 0.667 0.333 0.575 1

=====

[6]
# SrHgF3 GGA-PBE optimized geometry
# Relative energy among the computed polymorphs in meV/atom: 408
# SG: No. 221
# Density of states at the Fermi level in states/eV per cell: 1.03
data_SrHgF3
_chemical_formula_sum 'Sr1 Hg1 F3'
_space_group_name_H-M_alt 'P 1'
_space_group_IT_number 1
_cell_length_a 4.713
_cell_length_b 4.713
_cell_length_c 4.713
_cell_angle_alpha 90.00
_cell_angle_beta 90.00
_cell_angle_gamma 90.00
loop_
_space_group_symop_operation_xyz
'x,y,z'
loop_
_atom_site_label
_atom_site_type_symbol
_atom_site_fract_x
_atom_site_fract_y
_atom_site_fract_z
_atom_site_occupancy
Sr1 Sr 0.000 0.000 0.000 1
Hg1 Hg 0.500 0.500 0.500 1
F1 F 0.000 0.500 0.500 1
F2 F 0.500 0.000 0.500 1
F3 F 0.500 0.500 0.000 1

=====

Question: Which formula does entry 3 have?
Answer: PaHgS2O8

=====

Question: Look up the density of states at the Fermi level of the fifth one.
Answer: 9.92 states/eV per cell

=====

Question: Which of these has the highest density of states at the Fermi level?
Answer: Tb2SmBi